First-principles (PBE-GGA) data for CaSbMo after structural relaxation, as listed in the Alexandria database. Values from VASP.

```
&SYSTEM
  ibrav = 0, nat = 3, ntyp = 3
/
ATOMIC_SPECIES
Ca 40.08 Ca.upf
Sb 121.76 Sb.upf
Mo 95.94 Mo.upf
CELL_PARAMETERS angstrom
3.483 0.000 0.000
-1.741 3.016 0.000
0.000 0.000 6.888
ATOMIC_POSITIONS angstrom
Ca 0.000 0.000 0.069
Sb 1.741 1.005 4.320
Mo 0.000 2.011 2.499
```

Its space group is No. 156. The value obtained for the energy is -5.361 eV/atom. The calculation puts the offset from the most stable computed form at 0.76 eV/f.u. The value obtained for the total magnetic moment is 0.85 μB/f.u. As for the density of states at the Fermi level: 1.95 states/eV/f.u. The calculation puts the formation energy from raw total energies at 290 meV/atom. Its theoretical density is 5.92 g cm⁻³.

=====

First-principles (PBE-GGA) data for La2NdTe after structural relaxation, as listed in the Alexandria database. Values from VASP.

```
&SYSTEM
  ibrav = 0, nat = 4, ntyp = 3
/
ATOMIC_SPECIES
La 138.91 La.upf
Te 127.60 Te.upf
Nd 144.24 Nd.upf
CELL_PARAMETERS angstrom
-3.167 1.769 -1.810
-2.779 -2.266 -1.893
-7.385 -0.866 7.536
ATOMIC_POSITIONS angstrom
La -3.139 -0.316 0.644
Te 0.000 0.000 0.000
La -10.192 -1.047 3.189
Nd -6.666 -0.682 1.917
```

Its space group is No. 166. The value obtained for the energy is -5.047 eV/atom. The calculation puts the offset from the most stable computed form at 0.09 eV/f.u. The value obtained for the total magnetic moment is 0.00 μB/f.u. As for the density of states at the Fermi level: 5.23 states/eV/f.u. The calculation puts the formation energy from raw total energies at -606 meV/atom. Its theoretical density is 6.21 g cm⁻³.

=====

First-principles (PBE-GGA) data for CsKRb2Re after structural relaxation, as listed in the Alexandria database. Values from VASP.

```
&SYSTEM
  ibrav = 0, nat = 5, ntyp = 4
/
ATOMIC_SPECIES
K 39.10 K.upf
Re 186.21 Re.upf
Rb 85.47 Rb.upf
Cs 132.91 Cs.upf
CELL_PARAMETERS angstrom
7.456 0.000 0.000
0.000 6.369 0.000
0.000 0.000 7.456
ATOMIC_POSITIONS angstrom
K 0.000 0.000 0.000
Re 0.000 3.184 0.000
Rb 3.728 0.000 0.000
Cs 3.728 3.184 3.728
Rb 0.000 0.000 3.728
```

Its space group is No. 123. The value obtained for the energy is -1.865 eV/atom. The value obtained for the total magnetic moment is 4.01 μB/f.u. As for the density of states at the Fermi level: 7.69 states/eV/f.u. Its theoretical density is 2.48 g cm⁻³.